1.
Nd2Y (PBE, relaxed); DFT formation energy = 53 meV/atom; total energy = -5.280 eV/atom; excess energy over the best structure of this formula in the dataset = 34.3 meV/atom
1.0
7.722 -4.965 0.000
7.722 4.965 0.000
-2.154 0.000 5.352
Nd Y
8 4
Direct
0.050 0.195 0.377
0.195 0.050 0.877
0.280 0.465 0.624
0.465 0.280 0.124
0.535 0.720 0.876
0.720 0.535 0.376
0.805 0.950 0.123
0.950 0.805 0.623
0.000 0.500 0.000
0.258 0.742 0.250
0.500 0.000 0.500
0.742 0.258 0.750

=====

2.
Nd2Y13 (PBE, relaxed); DFT formation energy = 41 meV/atom; total energy = -6.197 eV/atom
1.0
6.669 0.000 0.000
1.422 8.685 0.000
0.943 3.141 8.476
Nd Y
2 13
Direct
0.199 0.305 0.397
0.801 0.695 0.603
0.000 0.500 0.000
0.095 0.923 0.693
0.135 0.695 0.266
0.237 0.076 0.975
0.335 0.498 0.668
0.431 0.920 0.360
0.468 0.697 0.934
0.532 0.303 0.066
0.569 0.080 0.640
0.665 0.502 0.332
0.763 0.924 0.025
0.865 0.305 0.734
0.905 0.077 0.307

=====

3.
Nd2Y (PBE, relaxed); DFT formation energy = 234 meV/atom; total energy = -5.099 eV/atom; excess energy over the best structure of this formula in the dataset = 215.8 meV/atom
1.0
0.000 4.740 4.740
4.740 0.000 4.740
4.740 4.740 0.000
Nd Y
4 2
Direct
0.000 0.000 0.000
0.000 0.000 0.500
0.000 0.500 0.000
0.500 0.000 0.000
0.375 0.375 0.375
0.625 0.625 0.625

=====

4.
Nd2Y7 (PBE, relaxed); DFT formation energy = 19 meV/atom; total energy = -6.068 eV/atom; excess energy over the best structure of this formula in the dataset = 0.0 meV/atom
1.0
6.229 0.000 0.000
-3.115 5.395 0.000
0.000 0.000 8.798
Nd Y
2 7
Direct
0.333 0.667 0.000
0.667 0.333 0.000
0.000 0.000 0.000
0.000 0.333 0.665
0.000 0.667 0.335
0.333 0.000 0.665
0.333 0.333 0.335
0.667 0.000 0.335
0.667 0.667 0.665

=====

5.
Nd3Y4 (PBE, relaxed); DFT formation energy = 111 meV/atom; total energy = -5.626 eV/atom; excess energy over the best structure of this formula in the dataset = 0.0 meV/atom
1.0
4.234 0.000 0.000
0.000 4.234 0.000
0.000 0.000 26.327
Nd Y
6 8
Direct
0.000 0.000 0.000
0.000 0.000 0.287
0.000 0.000 0.713
0.500 0.500 0.213
0.500 0.500 0.500
0.500 0.500 0.787
0.000 0.000 0.142
0.000 0.000 0.427
0.000 0.000 0.573
0.000 0.000 0.858
0.500 0.500 0.073
0.500 0.500 0.358
0.500 0.500 0.642
0.500 0.500 0.927

=====

6.
Nd5Y3 (PBE, relaxed); DFT formation energy = 23 meV/atom; total energy = -5.381 eV/atom; excess energy over the best structure of this formula in the dataset = 4.8 meV/atom
1.0
7.382 0.000 0.000
0.000 5.850 6.386
0.000 -5.850 6.386
Nd Y
10 6
Direct
0.000 0.000 0.000
0.000 0.086 0.581
0.000 0.581 0.086
0.250 0.332 0.834
0.250 0.834 0.332
0.252 0.750 0.750
0.500 0.499 0.499
0.748 0.750 0.750
0.750 0.332 0.834
0.750 0.834 0.332
0.000 0.499 0.499
0.250 0.250 0.250
0.500 0.002 0.002
0.500 0.085 0.582
0.500 0.582 0.085
0.750 0.250 0.250